Computed, not measured: a relaxed structure of Li4CaZn at the PBE level of DFT.

a b c (Å): 5.587 5.587 5.587
angles (deg): 60.00 60.00 60.00
Fractional positions:
Ca: 0.000 0.000 0.000
Li: 0.623 0.132 0.623
Li: 0.132 0.623 0.623
Li: 0.623 0.623 0.623
Li: 0.623 0.623 0.132
Zn: 0.250 0.250 0.250

## Properties
Formation energy, meV/atom: 5
Space group: F-43m
DOS at the Fermi energy, states/eV per cell: 4.54
Total magnetic moment, μB/atom: 0.00

=====

Computed, not measured: a relaxed structure of LiCa4Zn3 at the PBE level of DFT.

a b c (Å): 3.740 5.270 10.546
angles (deg): 90.00 90.00 90.00
Fractional positions:
Ca: 0.000 0.500 0.262
Ca: 0.000 0.000 0.500
Ca: 0.000 0.000 0.000
Ca: 0.000 0.500 0.738
Zn: 0.500 0.000 0.246
Zn: 0.500 0.000 0.754
Zn: 0.500 0.500 0.500
Li: 0.500 0.500 0.000

## Properties
Formation energy, meV/atom: -174
Space group: Pmmm
DOS at the Fermi energy, states/eV per cell: 6.63
Total magnetic moment, μB/atom: 0.00